[1]
Below is crystalline BaCdOs2S at its relaxed geometry, with properties calculated at the PBE-GGA level.

a b c (Å): 5.1064 5.1064 5.2862
angles (deg): 90.00 90.00 90.00
Fractional positions:
Ba 0.0000 0.0000 0.0000
Cd 0.5000 0.5000 0.5000
Os 0.0000 0.5000 0.5000
Os 0.5000 0.0000 0.5000
S 0.5000 0.5000 0.0000

Results
The formation energy (no corrections) comes out at 151 kJ per mole of atoms.



[2]
Below is crystalline Ba2CdTcOs at its relaxed geometry, with properties calculated at the PBE-GGA level.

a b c (Å): 6.0246 6.0246 4.6700
angles (deg): 90.00 90.00 90.00
Fractional positions:
Ba 0.0000 0.5000 0.0000
Ba 0.5000 0.0000 0.0000
Cd 0.0000 0.0000 0.5000
Tc 0.5000 0.5000 0.0000
Os 0.5000 0.5000 0.5000

Results
Its calculated formation energy is 0.717 eV per atom.



[3]
Below is crystalline BaVCdOs2 at its relaxed geometry, with properties calculated at the PBE-GGA level.

a b c (Å): 4.6129 4.6129 5.6698
angles (deg): 90.00 90.00 90.00
Fractional positions:
Ba 0.0000 0.0000 0.0000
V 0.0000 0.0000 0.5000
Cd 0.5000 0.5000 0.0000
Os 0.0000 0.5000 0.5000
Os 0.5000 0.0000 0.5000

Results
Its calculated formation energy is 1.316 eV per atom.



[4]
Below is crystalline BaCdP2 at its relaxed geometry, with properties calculated at the PBE-GGA level.

a b c (Å): 6.8216 6.8859 4.2172
angles (deg): 90.00 90.26 90.00
Fractional positions:
Ba 0.0000 0.0000 0.0000
Ba 0.5000 0.5000 0.0000
Cd 0.0000 0.5000 0.0000
Cd 0.5000 0.0000 0.0000
P 0.2500 0.2500 0.5000
P 0.2500 0.7500 0.5000
P 0.7500 0.2500 0.5000
P 0.7500 0.7500 0.5000

Results
Its calculated formation energy is -0.065 eV per atom.



[5]
Below is crystalline BaCdP at its relaxed geometry, with properties calculated at the PBE-GGA level.

a b c (Å): 7.5239 7.5239 7.5239
angles (deg): 90.00 90.00 90.00
Fractional positions:
Ba 0.0000 0.0000 0.0000
Ba 0.0000 0.5000 0.5000
Ba 0.5000 0.0000 0.5000
Ba 0.5000 0.5000 0.0000
Cd 0.2500 0.2500 0.2500
Cd 0.2500 0.7500 0.7500
Cd 0.7500 0.2500 0.7500
Cd 0.7500 0.7500 0.2500
P 0.2500 0.2500 0.7500
P 0.2500 0.7500 0.2500
P 0.7500 0.2500 0.2500
P 0.7500 0.7500 0.7500

Results
Its calculated formation energy is -0.037 eV per atom.



[6]
Below is crystalline BaCdP3 at its relaxed geometry, with properties calculated at the PBE-GGA level.

a b c (Å): 5.6900 5.6900 5.6900
angles (deg): 90.00 90.00 90.00
Fractional positions:
Ba 0.0000 0.0000 0.0000
Cd 0.5000 0.5000 0.5000
P 0.0000 0.0000 0.5000
P 0.0000 0.5000 0.0000
P 0.5000 0.0000 0.0000

Results
Its calculated formation energy is 1.383 eV per atom.



[7]
Below is crystalline BaCdP2 at its relaxed geometry, with properties calculated at the PBE-GGA level.

a b c (Å): 5.0171 6.3811 6.9116
angles (deg): 90.00 90.00 90.00
Fractional positions:
Ba 0.0000 0.0000 0.0000
Ba 0.5000 0.5000 0.5000
Cd 0.0000 0.0000 0.5000
Cd 0.5000 0.5000 0.0000
P 0.0000 0.5000 0.1603
P 0.0000 0.5000 0.8397
P 0.5000 0.0000 0.3397
P 0.5000 0.0000 0.6603

Results
Its calculated formation energy is -0.366 eV per atom.



[8]
Below is crystalline BaCdP2 at its relaxed geometry, with properties calculated at the PBE-GGA level.

a b c (Å): 3.5864 3.5864 7.6183
angles (deg): 90.00 90.00 90.00
Fractional positions:
Ba 0.0000 0.0000 0.0000
Cd 0.5000 0.5000 0.3408
P 0.0000 0.0000 0.6067
P 0.5000 0.5000 0.6921

Results
Its calculated formation energy is -0.102 eV per atom.



The calculation returns the following spin magnetization values, one per record and in order: 4.7; 0.8; 0.0; 0.0; 0.0; 0.0; 0.0; 0.0 μB per cell.